HoEr2Ga9 | PBE | optimized geometry

The structure in POSCAR format:
```
HoEr2Ga9
1.0
-1.7452 -3.4354 1.7985
0.7446 -2.2325 -3.5417
11.4113 -3.4141 4.5513
Ga Er Ho
9 2 1
Direct
0.0000 0.5000 0.5000 Ga
0.5000 0.5000 0.6666 Ga
0.5000 0.5000 0.3334 Ga
0.5000 0.0000 0.1672 Ga
0.0000 0.5000 0.1672 Ga
0.5000 0.0000 0.8328 Ga
0.5000 0.0000 0.5000 Ga
0.5000 0.5000 0.0000 Ga
0.0000 0.5000 0.8328 Ga
0.0000 0.0000 0.6664 Er
0.0000 0.0000 0.3336 Er
0.0000 0.0000 0.0000 Ho
```

The magnetization is 0.000 μB per atom. The final energy is -0.290 Ry per atom. The value obtained for the formation enthalpy at 0 K is -0.528 eV per atom. As for the symmetry: P4/mmm.

LaNb2VOs | PBE | optimized geometry

The structure in POSCAR format:
```
LaNb2VOs
1.0
-4.6832 0.3128 -0.5852
0.0717 -3.9454 -2.6826
-0.6597 -2.6418 3.8677
V La Nb Os
1 1 2 1
Direct
0.0000 0.0000 0.0000 V
0.5000 0.5000 0.5000 La
0.0000 0.0000 0.5000 Nb
0.5000 0.0000 0.0000 Nb
0.0000 0.5000 0.0000 Os
```

The magnetization is 0.000 μB per atom. The final energy is -0.619 Ry per atom. The value obtained for the formation enthalpy at 0 K is 0.657 eV per atom. As for the symmetry: P4/mmm.

SrNp2PaO8 | PBE | optimized geometry

The structure in POSCAR format:
```
SrNp2PaO8
1.0
5.4435 0.0000 0.0000
0.0000 5.4435 0.0000
-2.7218 -2.7218 5.4285
Pa O Np Sr
1 8 2 1
Direct
0.0000 0.0000 0.0000 Pa
0.1440 0.1174 0.7626 O
0.6189 0.1173 0.7627 O
0.6186 0.6452 0.7626 O
0.8826 0.3814 0.2374 O
0.8827 0.8562 0.2373 O
0.1438 0.6454 0.7627 O
0.3546 0.3811 0.2373 O
0.3548 0.8560 0.2374 O
0.2500 0.7500 0.5000 Np
0.5000 0.5000 0.0000 Np
0.7500 0.2500 0.5000 Sr
```

The magnetization is 0.417 μB per atom. The value obtained for the energy relative to the elements, uncorrected is -3200 meV per atom. The final energy is -0.705 Ry per atom. As for the symmetry: I-4m2.

Hf2MgInH | PBE | optimized geometry

The structure in POSCAR format:
```
Hf2MgInH
1.0
-4.1931 0.2073 1.0116
-0.8065 -3.2993 -2.6669
0.6934 -2.9876 3.4864
Mg Hf H In
1 2 1 1
Direct
0.0000 0.0000 0.5000 Mg
0.5000 0.0000 0.0000 Hf
0.0000 0.5000 0.0000 Hf
0.0000 0.0000 0.0000 H
0.5000 0.5000 0.5000 In
```

The magnetization is 0.000 μB per atom. The final energy is -0.417 Ry per atom. The value obtained for the excess energy over the best structure of this formula in the dataset is 0.000 eV per atom. As for the symmetry: P4/mmm.

LuGa4Hg | PBE | optimized geometry

The structure in POSCAR format:
```
LuGa4Hg
1.0
5.5550 0.0000 0.0000
2.7775 4.8107 0.0000
2.7775 1.6036 4.5356
Ga Lu Hg
4 1 1
Direct
0.6254 0.1239 0.6254 Ga
0.6254 0.6254 0.1239 Ga
0.6254 0.6254 0.6254 Ga
0.1239 0.6254 0.6254 Ga
0.0000 0.0000 0.0000 Lu
0.2500 0.2500 0.2500 Hg
```

The magnetization is 0.000 μB per atom. The final energy is -0.219 Ry per atom. The value obtained for the formation enthalpy at 0 K is -0.155 eV per atom. As for the symmetry: F-43m.

PaMoN3 | PBE | optimized geometry

The structure in POSCAR format:
```
PaMoN3
1.0
-0.9624 -3.5102 1.5362
3.8264 -0.9633 0.1962
0.2002 1.5357 3.6345
Pa N Mo
1 3 1
Direct
0.5000 0.5000 0.5000 Pa
0.0000 0.5000 0.0000 N
0.5000 0.0000 0.0000 N
0.0000 0.0000 0.5000 N
0.0000 0.0000 0.0000 Mo
```

The magnetization is 0.123 μB per atom. The value obtained for the energy relative to the elements, uncorrected is -658 meV per atom. The final energy is -0.714 Ry per atom. As for the symmetry: Pm-3m.

CaGa3Re | PBE | optimized geometry

The structure in POSCAR format:
```
CaGa3Re
1.0
-1.6862 -4.1167 2.4450
3.2320 -2.8911 -2.6389
3.5326 0.6802 3.5814
Ga Ca Re
3 1 1
Direct
0.5000 0.0000 0.0000 Ga
0.0000 0.5000 0.0000 Ga
0.0000 0.0000 0.5000 Ga
0.0000 0.0000 0.0000 Ca
0.5000 0.5000 0.5000 Re
```

The magnetization is 0.008 μB per atom. The final energy is -0.196 Ry per atom. The value obtained for the formation enthalpy at 0 K is 2.045 eV per atom. The value obtained for the excess energy over the best structure of this formula in the dataset is 2.220 eV per atom. As for the symmetry: Pm-3m.

KTiTcGe2 | PBE | optimized geometry

The structure in POSCAR format:
```
KTiTcGe2
1.0
-3.5910 -2.7983 2.5246
2.2858 -3.8867 -1.0567
2.7572 0.4267 4.3948
Ge Tc Ti K
2 1 1 1
Direct
0.5000 0.0000 0.0000 Ge
0.0000 0.0000 0.5000 Ge
0.5000 0.5000 0.5000 Tc
0.0000 0.5000 0.0000 Ti
0.0000 0.0000 0.0000 K
```

The magnetization is 1.082 μB per atom. The final energy is -0.252 Ry per atom. The value obtained for the formation enthalpy at 0 K is 2.294 eV per atom. As for the symmetry: P4/mmm.

Ho5Cd2Pt2 | PBE | optimized geometry

The structure in POSCAR format:
```
Ho5Cd2Pt2
1.0
-3.8756 0.8474 6.4758
2.1867 -7.0381 2.2297
5.3678 6.6228 2.3458
Ho Cd Pt
10 4 4
Direct
0.6703 0.2945 0.2396 Ho
0.8297 0.7945 0.2396 Ho
0.1703 0.4450 0.2396 Ho
0.5000 0.5000 0.0000 Ho
0.6703 0.0550 0.7604 Ho
0.3297 0.9450 0.2396 Ho
0.8297 0.5550 0.7604 Ho
0.1703 0.2055 0.7604 Ho
0.0000 0.0000 0.0000 Ho
0.3297 0.7055 0.7604 Ho
0.0000 0.7838 0.5675 Cd
0.0000 0.2162 0.4325 Cd
0.5000 0.2838 0.5675 Cd
0.5000 0.7162 0.4325 Cd
0.6330 0.8682 0.0000 Pt
0.1330 0.6318 0.0000 Pt
0.3670 0.1318 0.0000 Pt
0.8670 0.3682 0.0000 Pt
```

The magnetization is 0.000 μB per atom. The final energy is -0.352 Ry per atom. The value obtained for the formation enthalpy at 0 K is -0.705 eV per atom. As for the symmetry: Cmce.

PmPr4Sm2 | PBE | optimized geometry

The structure in POSCAR format:
```
PmPr4Sm2
1.0
4.6715 0.0000 0.0000
0.0000 4.6715 0.0000
-2.3357 -2.3357 11.5361
Sm Pr Pm
2 4 1
Direct
0.4051 0.4051 0.8102 Sm
0.5949 0.5949 0.1898 Sm
0.2500 0.7500 0.5000 Pr
0.7500 0.2500 0.5000 Pr
0.1372 0.1372 0.2743 Pr
0.8628 0.8628 0.7257 Pr
0.0000 0.0000 0.0000 Pm
```

The magnetization is 0.000 μB per atom. The final energy is -0.331 Ry per atom. The value obtained for the formation enthalpy at 0 K is 0.250 eV per atom. The value obtained for the excess energy over the best structure of this formula in the dataset is 0.000 eV per atom. As for the symmetry: I4/mmm.

HfU3Ta2C6 | PBE | optimized geometry

The structure in POSCAR format:
```
HfU3Ta2C6
1.0
5.6911 0.0002 0.0002
-2.8440 4.9296 0.0002
-0.9494 -1.6439 5.6238
U Hf C Ta
3 1 6 2
Direct
0.5000 0.5000 0.5000 U
0.8351 0.1649 0.5000 U
0.1649 0.8351 0.5000 U
0.0000 0.0000 0.0000 Hf
0.5838 0.9232 0.7700 C
0.7364 0.7364 0.2282 C
0.9232 0.5838 0.7700 C
0.2636 0.2636 0.7718 C
0.0768 0.4162 0.2300 C
0.4162 0.0768 0.2300 C
0.3331 0.6669 0.0000 Ta
0.6669 0.3331 0.0000 Ta
```

The magnetization is 0.063 μB per atom. The final energy is -0.790 Ry per atom. The value obtained for the formation enthalpy at 0 K is -0.511 eV per atom. As for the symmetry: C2/m.

LiGa3Cu | PBE | optimized geometry

The structure in POSCAR format:
```
LiGa3Cu
1.0
-3.3634 -5.5911 -0.8994
2.8202 -3.7624 -2.2009
1.5303 -1.7049 4.8756
Ga Li Cu
6 2 2
Direct
0.4749 0.2659 0.8008 Ga
0.0857 0.6997 0.3007 Ga
0.0857 0.6997 0.8040 Ga
0.4749 0.2659 0.3040 Ga
0.4157 0.7720 0.0524 Ga
0.1449 0.1937 0.5524 Ga
0.6631 0.6699 0.5524 Li
0.8975 0.2958 0.0524 Li
0.8164 0.0910 0.5524 Cu
0.7442 0.8747 0.0524 Cu
```

The magnetization is 0.000 μB per atom. The final energy is -0.232 Ry per atom. The value obtained for the formation enthalpy at 0 K is -0.138 eV per atom. The value obtained for the excess energy over the best structure of this formula in the dataset is 0.000 eV per atom. As for the symmetry: P2_1/m.

Copy entry 4 word for word.
Hf2MgInH | PBE | optimized geometry

The structure in POSCAR format:
```
Hf2MgInH
1.0
-4.1931 0.2073 1.0116
-0.8065 -3.2993 -2.6669
0.6934 -2.9876 3.4864
Mg Hf H In
1 2 1 1
Direct
0.0000 0.0000 0.5000 Mg
0.5000 0.0000 0.0000 Hf
0.0000 0.5000 0.0000 Hf
0.0000 0.0000 0.0000 H
0.5000 0.5000 0.5000 In
```

The magnetization is 0.000 μB per atom. The final energy is -0.417 Ry per atom. The value obtained for the excess energy over the best structure of this formula in the dataset is 0.000 eV per atom. As for the symmetry: P4/mmm.

- Look up the magnetization of the ninth one.
  0.000 μB per atom